The following is a PBE-GGA calculation of an optimized crystal structure of Pd2PtAu2, from Alexandria.

Values from the calculation:
As for the total energy: -4.57 eV per atom. The energy above the most stable polymorph in this dataset is 45.5 meV per atom. For the formation energy, the calculation gives 0.022 eV per atom. The total moment comes out at 0.000 μB per atom.

abc: 4.449 4.448 4.951
angles: 72.44 72.45 65.08
Fractional coordinates of all 5 atoms:
Pd 0.601 0.101 0.193
Pd 0.399 0.899 0.807
Pt 0.000 0.500 0.000
Au 0.201 0.701 0.398
Au 0.799 0.299 0.602



The following is a PBE-GGA calculation of an optimized crystal structure of Ba2AsH, from Alexandria.

Values from the calculation:
As for the total energy: -3.77 eV per atom. The energy above the most stable polymorph in this dataset is 0.0 meV per atom. The total moment comes out at 0.000 μB per atom.

abc: 4.698 4.698 7.452
angles: 71.63 71.63 60.00
Fractional coordinates of all 4 atoms:
H 0.500 0.500 0.500
As 0.000 0.000 0.000
Ba 0.249 0.249 0.254
Ba 0.751 0.751 0.746